1.
VASP calculation (PBE) on Ce4AsSe2Br after structural relaxation.

ΔE_f (raw) in eV per atom: -1.57
SG: P2/m

Unit cell a=4.217 b=7.301 c=7.280 alpha=70.47 beta=90.00 gamma=90.00
Positions (direct):
Ce1 0.500 0.243 0.760
Ce2 0.000 0.249 0.243
Ce3 0.000 0.751 0.757
Ce4 0.500 0.757 0.240
Se1 0.500 0.000 0.500
Se2 0.000 0.000 0.000
As1 0.500 0.500 0.000
Br1 0.000 0.500 0.500

***

2.
VASP calculation (PBE) on Rb4U3BeS8 after structural relaxation.

ΔE_f (raw) in eV per atom: -1.17
SG: C2/m

Unit cell a=7.897 b=8.979 c=8.055 alpha=116.63 beta=119.35 gamma=90.00
Positions (direct):
S1 0.759 0.671 0.961
S2 0.241 0.701 0.482
S3 0.730 0.697 0.460
S4 0.241 0.329 0.039
S5 0.797 0.329 0.039
S6 0.203 0.671 0.961
S7 0.270 0.303 0.540
S8 0.759 0.299 0.518
Rb1 0.500 0.000 0.500
Rb2 0.000 0.000 0.000
Rb3 0.000 0.000 0.500
Rb4 0.500 0.000 0.000
U1 0.500 0.500 0.500
U2 0.500 0.500 0.000
U3 0.000 0.500 0.500
Be1 0.000 0.500 0.000

***

3.
VASP calculation (PBE) on Tb3Pr7Tm after structural relaxation.

ΔH_f (0 K) in eV/f.u.: 2.458
SG: C2/m
Energy relative to the lowest polymorph listed for this composition in eV per atom: 0.038

Unit cell a=5.965 b=8.636 c=8.636 alpha=83.17 beta=110.22 gamma=110.22
Positions (direct):
Tm1 0.500 0.500 0.500
Tb1 0.000 0.205 0.795
Tb2 0.000 0.795 0.205
Tb3 0.500 0.000 0.000
Pr1 0.308 0.019 0.597
Pr2 0.692 0.403 0.981
Pr3 0.000 0.500 0.500
Pr4 0.211 0.210 0.210
Pr5 0.308 0.597 0.019
Pr6 0.789 0.790 0.790
Pr7 0.692 0.981 0.403

***

4.
VASP calculation (PBE) on Mg3Ag5Hg after structural relaxation.

ΔH_f (0 K) in eV/f.u.: 0.710
SG: I4/mcm
Energy relative to the lowest polymorph listed for this composition in eV per atom: 0.227

Unit cell a=8.171 b=8.171 c=8.073 alpha=120.40 beta=120.40 gamma=90.00
Positions (direct):
Mg1 0.385 0.885 0.000
Mg2 0.615 0.115 0.000
Mg3 0.250 0.250 0.500
Mg4 0.750 0.750 0.500
Mg5 0.115 0.385 0.000
Mg6 0.885 0.615 0.000
Hg1 0.750 0.250 0.500
Hg2 0.250 0.750 0.500
Ag1 0.573 0.667 0.740
Ag2 0.333 0.833 0.260
Ag3 0.167 0.073 0.740
Ag4 0.927 0.427 0.260
Ag5 0.500 0.500 0.000
Ag6 0.073 0.573 0.740
Ag7 0.000 0.000 0.000
Ag8 0.427 0.333 0.260
Ag9 0.667 0.167 0.740
Ag10 0.833 0.927 0.260

***

What did the third record say?
VASP calculation (PBE) on Tb3Pr7Tm after structural relaxation.

ΔH_f (0 K) in eV/f.u.: 2.458
SG: C2/m
Energy relative to the lowest polymorph listed for this composition in eV per atom: 0.038

Unit cell a=5.965 b=8.636 c=8.636 alpha=83.17 beta=110.22 gamma=110.22
Positions (direct):
Tm1 0.500 0.500 0.500
Tb1 0.000 0.205 0.795
Tb2 0.000 0.795 0.205
Tb3 0.500 0.000 0.000
Pr1 0.308 0.019 0.597
Pr2 0.692 0.403 0.981
Pr3 0.000 0.500 0.500
Pr4 0.211 0.210 0.210
Pr5 0.308 0.597 0.019
Pr6 0.789 0.790 0.790
Pr7 0.692 0.981 0.403